# MnMoP2O PBE with a Hubbard U relaxed
# Polymorph energy (0 for the lowest one)   0.0000 eV/atom
# D(E_F)   0.93 states/eV/f.u.
# Electronic total energy   -6.0491 eV per atom
data_MnMoP2O
_chemical_formula_sum 'Mn1 Mo1 P2 O1'
_symmetry_space_group_name_H-M 'P 4/m m m'
_symmetry_Int_Tables_number 123
_symmetry_space_group_name_Hall '-P 4 2'
_cell_length_a 4.8834
_cell_length_b 4.8834
_cell_length_c 3.7952
_cell_angle_alpha 90.00
_cell_angle_beta 90.00
_cell_angle_gamma 90.00
loop_
_atom_site_label
_atom_site_type_symbol
_atom_site_fract_x
_atom_site_fract_y
_atom_site_fract_z
_atom_site_occupancy
Mn1 Mn 0.0000 0.0000 0.0000 1
Mo1 Mo 0.5000 0.5000 0.5000 1
P1 P 0.0000 0.5000 0.5000 1
O1 O 0.5000 0.5000 0.0000 1